1.
DFT (GGA-PBE) results for a geometry-optimized BeCdCu2 structure.

Calculated values
As for the relative energy among the computed polymorphs: 0.160 eV/atom. The formation energy from the elements comes out at 0.18 eV/atom.

Cell lengths 3.726, 3.790, 5.363 Å; angles 44.88, 90.00, 90.00 degrees
Fractional positions:
1 Cu 0.500 0.500 0.000
2 Cd 0.000 0.000 0.500
3 Be 0.500 0.500 0.500
4 Cu 0.000 0.000 0.000

=====

2.
DFT (GGA-PBE) results for a geometry-optimized Pm4NdTm5 structure.

Calculated values
As for the relative energy among the computed polymorphs: 0.243 eV/atom. The formation energy from the elements comes out at 0.29 eV/atom.

Cell lengths 6.253, 7.924, 7.924 Å; angles 81.05, 66.76, 66.76 degrees
Fractional positions:
1 Tm 0.717 0.082 0.379
2 Tm 0.685 0.000 0.000
3 Pm 0.103 0.301 0.399
4 Tm 0.179 0.918 0.621
5 Pm 0.803 0.699 0.601
6 Pm 0.404 0.399 0.699
7 Tm 0.096 0.621 0.082
8 Nd 0.222 0.000 0.000
9 Pm 0.502 0.601 0.301
10 Tm 0.800 0.379 0.918

=====

3.
DFT (GGA-PBE) results for a geometry-optimized Pa3Tl5Te12 structure.

Calculated values
The energy comes out at -4.24 eV/atom.

Cell lengths 15.655, 15.655, 15.655 Å; angles 109.47, 109.47, 109.47 degrees
Fractional positions:
1 Tl 0.250 0.375 0.625
2 Te 0.643 0.580 0.912
3 Te 0.937 0.580 0.168
4 Pa 0.125 0.875 0.750
5 Te 0.437 0.668 0.080
6 Te 0.063 0.643 0.731
7 Pa 0.375 0.625 0.250
8 Te 0.231 0.668 0.088
9 Te 0.668 0.437 0.580
10 Te 0.080 0.168 0.437
11 Tl 0.500 0.500 0.500
12 Tl 0.500 0.000 0.000
13 Pa 0.250 0.125 0.375
14 Te 0.412 0.269 0.332
15 Pa 0.875 0.125 0.250
16 Te 0.143 0.731 0.563
17 Te 0.437 0.769 0.857
18 Tl 0.625 0.750 0.875
19 Te 0.920 0.088 0.857
20 Pa 0.750 0.375 0.125
21 Tl 0.500 0.000 0.500
22 Te 0.063 0.420 0.832
23 Te 0.168 0.088 0.731
24 Te 0.588 0.731 0.668
25 Te 0.588 0.857 0.420
26 Pa 0.625 0.250 0.375
27 Tl 0.000 0.500 0.500
28 Te 0.832 0.912 0.269
29 Te 0.420 0.063 0.332
30 Te 0.668 0.231 0.588
31 Te 0.231 0.563 0.643
32 Te 0.769 0.437 0.357
33 Te 0.769 0.332 0.912
34 Tl 0.000 0.000 0.000
35 Te 0.269 0.412 0.832
36 Te 0.332 0.563 0.420
37 Te 0.088 0.168 0.231
38 Te 0.269 0.857 0.937
39 Pa 0.375 0.750 0.625
40 Tl 0.875 0.625 0.750
41 Tl 0.375 0.125 0.750
42 Pa 0.625 0.375 0.750
43 Tl 0.625 0.875 0.250
44 Te 0.912 0.832 0.769
45 Pa 0.125 0.250 0.875
46 Te 0.580 0.937 0.668
47 Tl 0.750 0.625 0.375
48 Te 0.357 0.937 0.769
49 Te 0.580 0.643 0.412
50 Te 0.912 0.080 0.643
51 Tl 0.000 0.000 0.500
52 Te 0.857 0.588 0.920
53 Tl 0.750 0.125 0.875
54 Te 0.143 0.412 0.080
55 Te 0.920 0.832 0.563
56 Te 0.420 0.357 0.588
57 Pa 0.250 0.625 0.875
58 Pa 0.750 0.875 0.625
59 Tl 0.125 0.375 0.250
60 Te 0.731 0.588 0.168
61 Te 0.332 0.769 0.412
62 Tl 0.500 0.500 0.000
63 Te 0.937 0.357 0.269
64 Tl 0.875 0.250 0.625
65 Te 0.563 0.231 0.143
66 Te 0.412 0.143 0.580
67 Tl 0.125 0.750 0.375
68 Tl 0.000 0.500 0.000
69 Tl 0.375 0.250 0.125
70 Te 0.168 0.080 0.937
71 Te 0.832 0.920 0.063
72 Te 0.357 0.420 0.088
73 Tl 0.250 0.875 0.125
74 Te 0.731 0.143 0.063
75 Te 0.080 0.912 0.143
76 Te 0.857 0.269 0.437
77 Pa 0.875 0.750 0.125
78 Te 0.088 0.920 0.357
79 Te 0.563 0.332 0.920
80 Te 0.643 0.063 0.231

=====

4.
DFT (GGA-PBE) results for a geometry-optimized CeHo2Zn structure.

Calculated values
As for the relative energy among the computed polymorphs: 0.128 eV/atom. The formation energy from the elements comes out at 0.01 eV/atom.

Cell lengths 4.635, 4.750, 4.750 Å; angles 90.00, 90.00, 90.00 degrees
Last column: magnetic moment on the atom in μB.
Fractional positions:
1 Ce 0.500 0.500 0.500  0.71
2 Ho 0.000 0.000 0.500  0.17
3 Ho 0.000 0.500 0.000  0.17
4 Zn 0.500 0.000 0.000  -0.01